Model i:
Material: Ac3HgGe3
Method: DFT, PBE-GGA
State: optimized geometry

```
data_Ac3HgGe3
_symmetry_space_group_name_H-M 'I m m 2'
_symmetry_Int_Tables_number 44
_cell_length_a 4.4185
_cell_length_b 4.6829
_cell_length_c 20.0461
_cell_angle_alpha 90.00
_cell_angle_beta 90.00
_cell_angle_gamma 90.00
loop_
_symmetry_equiv_pos_as_xyz
'x,y,z'
'-x,-y,z'
'-x,y,z'
'x,-y,z'
'x+1/2,y+1/2,z+1/2'
'-x+1/2,-y+1/2,z+1/2'
'-x+1/2,y+1/2,z+1/2'
'x+1/2,-y+1/2,z+1/2'
loop_
_atom_site_label
_atom_site_fract_x
_atom_site_fract_y
_atom_site_fract_z
Ac1 0.0000 0.0000 0.0000
Ac2 0.0000 0.0000 0.3679
Ac3 0.0000 0.5000 0.6931
Hg1 0.0000 0.5000 0.1194
Ge1 0.0000 0.0000 0.5360
Ge2 0.0000 0.0000 0.8309
Ge3 0.0000 0.5000 0.2537
```

V ... 415 Å³ per cell
DOS at the Fermi energy ... 0.72 states/eV per atom
Size of the total moment ... 0.58 μB/f.u.


Model ii:
Material: Ac3HgGe3
Method: DFT, PBE-GGA
State: optimized geometry

```
data_Ac3HgGe3
_symmetry_space_group_name_H-M 'P 63/m'
_symmetry_Int_Tables_number 176
_symmetry_space_group_name_Hall '-P 6c'
_cell_length_a 9.3853
_cell_length_b 9.3853
_cell_length_c 6.4286
_cell_angle_alpha 90.00
_cell_angle_beta 90.00
_cell_angle_gamma 120.00
loop_
_atom_site_label
_atom_site_fract_x
_atom_site_fract_y
_atom_site_fract_z
Ac1 0.0519 0.3526 0.2500
Hg1 0.3333 0.6667 0.7500
Ge1 0.0507 0.3694 0.7500
```

V ... 490 Å³ per cell
DOS at the Fermi energy ... 0.91 states/eV per atom
Size of the total moment ... 0.00 μB/f.u.


Most stable pick: model i. Distance to second place: 121 meV per atom.


Model i:
Material: AcMgHgGe
Method: DFT, PBE-GGA
State: optimized geometry

```
data_AcMgHgGe
_symmetry_space_group_name_H-M 'C 1 m 1'
_symmetry_Int_Tables_number 8
_cell_length_a 8.0426
_cell_length_b 4.6352
_cell_length_c 6.4103
_cell_angle_alpha 90.00
_cell_angle_beta 114.72
_cell_angle_gamma 90.00
loop_
_symmetry_equiv_pos_as_xyz
'x,y,z'
'x,-y,z'
'x+1/2,y+1/2,z'
'x+1/2,-y+1/2,z'
loop_
_atom_site_label
_atom_site_fract_x
_atom_site_fract_y
_atom_site_fract_z
Ac1 0.0000 0.0000 0.0000
Mg1 0.4872 0.0000 0.4616
Hg1 0.2199 0.0000 0.6606
Ge1 0.2741 0.5000 0.3212
```

V ... 217 Å³ per cell
DOS at the Fermi energy ... 0.30 states/eV per atom
Size of the total moment ... 0.00 μB/f.u.


Model ii:
Material: AcMgHgGe
Method: DFT, PBE-GGA
State: optimized geometry

```
data_AcMgHgGe
_symmetry_space_group_name_H-M 'F -4 3 m'
_symmetry_Int_Tables_number 216
_symmetry_space_group_name_Hall 'F -4 2 3'
_cell_length_a 7.5264
_cell_length_b 7.5264
_cell_length_c 7.5264
_cell_angle_alpha 90.00
_cell_angle_beta 90.00
_cell_angle_gamma 90.00
loop_
_atom_site_label
_atom_site_fract_x
_atom_site_fract_y
_atom_site_fract_z
Ac1 0.0000 0.0000 0.0000
Mg1 0.0000 0.0000 0.5000
Hg1 0.2500 0.2500 0.2500
Ge1 0.2500 0.2500 0.7500
```

V ... 426 Å³ per cell
DOS at the Fermi energy ... 0.72 states/eV per atom
Size of the total moment ... 0.00 μB/f.u.


Most stable pick: model i. Distance to second place: 93 meV per atom.


Model i:
Material: AcHoGe
Method: DFT, PBE-GGA
State: optimized geometry

```
data_AcHoGe
_symmetry_space_group_name_H-M 'P 4/n m m'
_symmetry_Int_Tables_number 129
_cell_length_a 4.6320
_cell_length_b 4.6320
_cell_length_c 8.4591
_cell_angle_alpha 90.00
_cell_angle_beta 90.00
_cell_angle_gamma 90.00
loop_
_symmetry_equiv_pos_as_xyz
'x,y,z'
'-x,-y,-z'
'-y+1/2,x,z'
'y+1/2,-x,-z'
'-x+1/2,-y+1/2,z'
'x+1/2,y+1/2,-z'
'y,-x+1/2,z'
'-y,x+1/2,-z'
'x+1/2,-y,-z'
'-x+1/2,y,z'
'-y,-x,-z'
'y,x,z'
'-x,y+1/2,-z'
'x,-y+1/2,z'
'y+1/2,x+1/2,-z'
'-y+1/2,-x+1/2,z'
loop_
_atom_site_label
_atom_site_fract_x
_atom_site_fract_y
_atom_site_fract_z
Ac1 0.2500 0.2500 0.1439
Ho1 0.2500 0.7500 0.5000
Ge1 0.2500 0.2500 0.7375
```

V ... 181 Å³ per cell
DOS at the Fermi energy ... 1.23 states/eV per atom
Size of the total moment ... 1.04 μB/f.u.


Model ii:
Material: AcHoGe
Method: DFT, PBE-GGA
State: optimized geometry

```
data_AcHoGe
_symmetry_space_group_name_H-M 'P 3 m 1'
_symmetry_Int_Tables_number 156
_cell_length_a 4.8793
_cell_length_b 4.8793
_cell_length_c 4.6010
_cell_angle_alpha 90.00
_cell_angle_beta 90.00
_cell_angle_gamma 120.00
loop_
_symmetry_equiv_pos_as_xyz
'x,y,z'
'-y,x-y,z'
'-x+y,-x,z'
'-y,-x,z'
'-x+y,y,z'
'x,x-y,z'
loop_
_atom_site_label
_atom_site_fract_x
_atom_site_fract_y
_atom_site_fract_z
Ac1 0.0000 0.0000 0.0000
Ho1 0.3333 0.6667 0.5003
Ge1 0.6667 0.3333 0.4977
```

V ... 95 Å³ per cell
DOS at the Fermi energy ... 0.22 states/eV per atom
Size of the total moment ... 0.00 μB/f.u.


Model iii:
Material: AcHoGe
Method: DFT, PBE-GGA
State: optimized geometry

```
data_AcHoGe
_symmetry_space_group_name_H-M 'C 1 2/m 1'
_symmetry_Int_Tables_number 12
_cell_length_a 14.1273
_cell_length_b 3.8996
_cell_length_c 7.1939
_cell_angle_alpha 90.00
_cell_angle_beta 96.71
_cell_angle_gamma 90.00
loop_
_symmetry_equiv_pos_as_xyz
'x,y,z'
'-x,-y,-z'
'-x,y,-z'
'x,-y,z'
'x+1/2,y+1/2,z'
'-x+1/2,-y+1/2,-z'
'-x+1/2,y+1/2,-z'
'x+1/2,-y+1/2,z'
loop_
_atom_site_label
_atom_site_fract_x
_atom_site_fract_y
_atom_site_fract_z
Ac1 0.2141 0.0000 0.2410
Ho1 0.0477 0.0000 0.7554
Ge1 0.0902 0.5000 0.4700
```

V ... 394 Å³ per cell
DOS at the Fermi energy ... 1.08 states/eV per atom
Size of the total moment ... 0.00 μB/f.u.


Model iv:
Material: AcHoGe
Method: DFT, PBE-GGA
State: optimized geometry

```
data_AcHoGe
_symmetry_space_group_name_H-M 'F -4 3 m'
_symmetry_Int_Tables_number 216
_symmetry_space_group_name_Hall 'F -4 2 3'
_cell_length_a 7.2758
_cell_length_b 7.2758
_cell_length_c 7.2758
_cell_angle_alpha 90.00
_cell_angle_beta 90.00
_cell_angle_gamma 90.00
loop_
_atom_site_label
_atom_site_fract_x
_atom_site_fract_y
_atom_site_fract_z
Ac1 0.0000 0.0000 0.0000
Ho1 0.0000 0.0000 0.5000
Ge1 0.2500 0.2500 0.2500
```

V ... 385 Å³ per cell
DOS at the Fermi energy ... 1.05 states/eV per atom
Size of the total moment ... 0.00 μB/f.u.


Most stable pick: model i. Distance to second place: 127 meV per atom.


Model i:
Material: Ac2HoGe2
Method: DFT, PBE-GGA
State: optimized geometry

```
data_Ac2HoGe2
_symmetry_space_group_name_H-M 'C m c 21'
_symmetry_Int_Tables_number 36
_cell_length_a 4.6538
_cell_length_b 17.3744
_cell_length_c 8.2722
_cell_angle_alpha 90.00
_cell_angle_beta 90.00
_cell_angle_gamma 90.00
loop_
_symmetry_equiv_pos_as_xyz
'x,y,z'
'-x,-y,z+1/2'
'-x,y,z'
'x,-y,z+1/2'
'x+1/2,y+1/2,z'
'-x+1/2,-y+1/2,z+1/2'
'-x+1/2,y+1/2,z'
'x+1/2,-y+1/2,z+1/2'
loop_
_atom_site_label
_atom_site_fract_x
_atom_site_fract_y
_atom_site_fract_z
Ac1 0.0000 0.0443 0.0000
Ac2 0.0000 0.2066 0.3498
Ho1 0.0000 0.4069 0.1438
Ge1 0.0000 0.1760 0.7350
Ge2 0.0000 0.4386 0.7973
```

V ... 669 Å³ per cell
DOS at the Fermi energy ... 0.93 states/eV per atom
Size of the total moment ... 0.00 μB/f.u.


Model ii:
Material: Ac2HoGe2
Method: DFT, PBE-GGA
State: optimized geometry

```
data_Ac2HoGe2
_symmetry_space_group_name_H-M 'P 4/m b m'
_symmetry_Int_Tables_number 127
_symmetry_space_group_name_Hall '-P 4 2ab'
_cell_length_a 7.9404
_cell_length_b 7.9404
_cell_length_c 4.7474
_cell_angle_alpha 90.00
_cell_angle_beta 90.00
_cell_angle_gamma 90.00
loop_
_atom_site_label
_atom_site_fract_x
_atom_site_fract_y
_atom_site_fract_z
Ac1 0.1762 0.3238 0.0000
Ho1 0.0000 0.0000 0.5000
Ge1 0.1217 0.6217 0.5000
```

V ... 299 Å³ per cell
DOS at the Fermi energy ... 0.90 states/eV per atom
Size of the total moment ... 0.00 μB/f.u.


Most stable pick: model ii. Distance to second place: 86 meV per atom.


Model i:
Material: Ac2HoGe
Method: DFT, PBE-GGA
State: optimized geometry

```
data_Ac2HoGe
_symmetry_space_group_name_H-M 'R -3 m'
_symmetry_Int_Tables_number 166
_symmetry_space_group_name_Hall '-R 3 2"'
_cell_length_a 3.8859
_cell_length_b 3.8859
_cell_length_c 35.0155
_cell_angle_alpha 90.00
_cell_angle_beta 90.00
_cell_angle_gamma 120.00
loop_
_atom_site_label
_atom_site_fract_x
_atom_site_fract_y
_atom_site_fract_z
Ac1 0.0000 0.0000 0.1044
Ho1 0.0000 0.0000 0.0000
Ge1 0.0000 0.0000 0.5000
```

V ... 458 Å³ per cell
DOS at the Fermi energy ... 1.69 states/eV per atom
Size of the total moment ... 0.07 μB/f.u.


Model ii:
Material: Ac2HoGe
Method: DFT, PBE-GGA
State: optimized geometry

```
data_Ac2HoGe
_symmetry_space_group_name_H-M 'P 4/m m m'
_symmetry_Int_Tables_number 123
_symmetry_space_group_name_Hall '-P 4 2'
_cell_length_a 5.1435
_cell_length_b 5.1435
_cell_length_c 4.8325
_cell_angle_alpha 90.00
_cell_angle_beta 90.00
_cell_angle_gamma 90.00
loop_
_atom_site_label
_atom_site_fract_x
_atom_site_fract_y
_atom_site_fract_z
Ac1 0.0000 0.5000 0.0000
Ho1 0.0000 0.0000 0.5000
Ge1 0.5000 0.5000 0.5000
```

V ... 128 Å³ per cell
DOS at the Fermi energy ... 1.16 states/eV per atom
Size of the total moment ... 0.00 μB/f.u.


Most stable pick: model ii. Distance to second place: 297 meV per atom.


Model i:
Material: AcHoGePt
Method: DFT, PBE-GGA
State: optimized geometry

```
data_AcHoGePt
_symmetry_space_group_name_H-M 'P 4/n m m'
_symmetry_Int_Tables_number 129
_cell_length_a 4.7685
_cell_length_b 4.7685
_cell_length_c 10.3777
_cell_angle_alpha 90.00
_cell_angle_beta 90.00
_cell_angle_gamma 90.00
loop_
_symmetry_equiv_pos_as_xyz
'x,y,z'
'-x,-y,-z'
'-y+1/2,x,z'
'y+1/2,-x,-z'
'-x+1/2,-y+1/2,z'
'x+1/2,y+1/2,-z'
'y,-x+1/2,z'
'-y,x+1/2,-z'
'x+1/2,-y,-z'
'-x+1/2,y,z'
'-y,-x,-z'
'y,x,z'
'-x,y+1/2,-z'
'x,-y+1/2,z'
'y+1/2,x+1/2,-z'
'-y+1/2,-x+1/2,z'
loop_
_atom_site_label
_atom_site_fract_x
_atom_site_fract_y
_atom_site_fract_z
Ac1 0.2500 0.2500 0.1710
Ho1 0.2500 0.7500 0.5000
Ge1 0.2500 0.2500 0.8765
Pt1 0.2500 0.2500 0.6458
```

V ... 236 Å³ per cell
DOS at the Fermi energy ... 0.64 states/eV per atom
Size of the total moment ... 0.00 μB/f.u.


Model ii:
Material: AcHoGePt
Method: DFT, PBE-GGA
State: optimized geometry

```
data_AcHoGePt
_symmetry_space_group_name_H-M 'F -4 3 m'
_symmetry_Int_Tables_number 216
_symmetry_space_group_name_Hall 'F -4 2 3'
_cell_length_a 7.4022
_cell_length_b 7.4022
_cell_length_c 7.4022
_cell_angle_alpha 90.00
_cell_angle_beta 90.00
_cell_angle_gamma 90.00
loop_
_atom_site_label
_atom_site_fract_x
_atom_site_fract_y
_atom_site_fract_z
Ac1 0.0000 0.0000 0.0000
Ho1 0.0000 0.0000 0.5000
Ge1 0.2500 0.2500 0.2500
Pt1 0.2500 0.2500 0.7500
```

V ... 406 Å³ per cell
DOS at the Fermi energy ... 0.26 states/eV per atom
Size of the total moment ... 0.00 μB/f.u.


Most stable pick: model i. Distance to second place: 22 meV per atom.